No. 1
Compound: La3PrO
Source: Alexandria via LeMat-Bulk
Functional: PBE
Structure: optimized geometry

Output
total magnetization	0.00	μB/cell
formation energy without anion corrections	-1.14	eV per atom
space group	Pm-3m (221)

a b c (Å): 5.195 5.195 5.195
angles (deg): 90.00 90.00 90.00
Sites, in units of the cell vectors:
La 0.000 0.000 0.500
La 0.000 0.500 0.000
La 0.500 0.000 0.000
Pr 0.500 0.500 0.500
O 0.000 0.000 0.000

No. 2
Compound: LaPr2O
Source: Alexandria via LeMat-Bulk
Functional: PBE
Structure: optimized geometry

Output
total magnetization	0.00	μB/cell
formation energy without anion corrections	-1.23	eV per atom
space group	R-3m (166)

a b c (Å): 9.456 9.456 9.456
angles (deg): 22.70 22.70 22.70
Sites, in units of the cell vectors:
La 0.000 0.000 0.000
Pr 0.218 0.218 0.218
Pr 0.782 0.782 0.782
O 0.500 0.500 0.500

No. 3
Compound: La2Pr4O
Source: Alexandria via LeMat-Bulk
Functional: PBE
Structure: optimized geometry

Output
total magnetization	0.00	μB/cell
formation energy without anion corrections	-0.63	eV per atom
space group	I4/mmm (139)

a b c (Å): 9.765 9.765 9.765
angles (deg): 150.15 150.15 42.72
Sites, in units of the cell vectors:
La 0.165 0.165 0.000
La 0.835 0.835 0.000
Pr 0.000 0.500 0.500
Pr 0.364 0.364 0.000
Pr 0.500 0.000 0.500
Pr 0.636 0.636 0.000
O 0.500 0.500 0.000

No. 4
Compound: La2Pr2O
Source: Alexandria via LeMat-Bulk
Functional: PBE
Structure: optimized geometry

Output
total magnetization	0.00	μB/cell
formation energy without anion corrections	-1.12	eV per atom
space group	P4/mmm (123)

a b c (Å): 5.190 5.190 5.185
angles (deg): 90.00 90.00 90.00
Sites, in units of the cell vectors:
La 0.000 0.500 0.000
La 0.500 0.000 0.000
Pr 0.000 0.000 0.500
Pr 0.500 0.500 0.500
O 0.000 0.000 0.000

Among the records above, which one has the highest formation energy without anion corrections? La2Pr4O

Repeat the first record exactly.
Compound: La3PrO
Source: Alexandria via LeMat-Bulk
Functional: PBE
Structure: optimized geometry

Output
total magnetization	0.00	μB/cell
formation energy without anion corrections	-1.14	eV per atom
space group	Pm-3m (221)

a b c (Å): 5.195 5.195 5.195
angles (deg): 90.00 90.00 90.00
Sites, in units of the cell vectors:
La 0.000 0.000 0.500
La 0.000 0.500 0.000
La 0.500 0.000 0.000
Pr 0.500 0.500 0.500
O 0.000 0.000 0.000

formation energy without anion corrections of number 2 (LaPr2O)? -1.23 eV per atom